Record 1
VASP calculation (PBE-GGA) on a relaxed CeYHgIr crystal.

Computed properties:
For the volume, the calculation gives 27.16 A^3/atom. The calculated total energy comes out at -71.62 eV per cell. The energy of formation is -2.31 eV per formula unit.

Lattice parameters (Å, degrees): 4.0697 4.0697 22.7220 90.00 90.00 120.00
With the nearest neighbours (Å) after each atom.
Space group R3m (No. 160, hexagonal axes)
Asymmetric unit:
Ce  0.0000  0.0000  0.0000  3 Ir 2.77
Y  0.0000  0.0000  0.1996  3 Ir 2.83
Hg  0.0000  0.0000  0.4353  3 Y 3.23, 3 Ce 3.30
Ir  0.0000  0.0000  0.6020  3 Ce 2.77, 3 Y 2.83

Record 2
VASP calculation (PBE-GGA) on a relaxed CaMoPb2 crystal.

Computed properties:
For the volume, the calculation gives 25.04 A^3/atom. The calculated total energy comes out at -18.50 eV per cell. The energy of formation is 1.75 eV per formula unit.

Lattice parameters (Å, degrees): 3.2813 5.3437 5.9383 90.00 105.86 90.00
With the nearest neighbours (Å) after each atom.
Space group Pm (No. 6)
Asymmetric unit:
Ca  0.0000  0.0000  0.0000  3 Pb 3.05-3.19, 2 Ca 3.28, 2 Mo 3.36
Mo  0.7003  0.5000  0.2591  4 Pb 2.94-3.08, 2 Mo 3.28
Pb  0.3530  0.5000  0.7438  2 Mo 2.96-3.08, 2 Pb 3.28
Pb  0.6902  0.0000  0.4637  2 Mo 2.94, 3 Ca 3.05-3.19, 2 Pb 3.28

Record 3
VASP calculation (PBE-GGA) on a relaxed Pr2HoUP4 crystal.

Computed properties:
For the volume, the calculation gives 23.90 A^3/atom. The calculated total energy comes out at -58.26 eV per cell. The energy of formation is -11.19 eV per formula unit.

Lattice parameters (Å, degrees): 7.0375 4.0613 7.0809 90.00 109.16 90.00
With the nearest neighbours (Å) after each atom.
Space group P2/m (No. 10)
Asymmetric unit:
Pr  0.0000  0.0000  0.0000  6 P 2.97-2.98
Pr  0.5000  0.5000  0.0000  6 P 2.93-2.94
Ho  0.0000  0.5000  0.5000  6 P 2.82-2.83
U  0.5000  0.0000  0.5000  6 P 2.77-2.80
P  0.2502  0.0000  0.7315  1 U 2.77, 2 Ho 2.83, 3 Pr 2.94-2.98
P  0.2601  0.5000  0.2694  2 U 2.80, 1 Ho 2.82, 3 Pr 2.93-2.97